[1]
Density functional theory data (GGA-PBE) for Dy4Tm7Tl after structural relaxation.

Unit cell a=11.8253 b=5.6178 c=11.7827 alpha=90.00 beta=100.54 gamma=90.00
Space group C2/m (No. 12)
Asymmetric unit:
1 Dy 0.0767 0.0000 0.2668 [4 per cell]
2 Dy 0.1415 0.5000 0.7855 [4 per cell]
3 Tm 0.0000 0.5000 0.5000 [2 per cell]
4 Tm 0.1098 0.5000 0.1073 [4 per cell]
5 Tm 0.1374 0.0000 0.9712 [4 per cell]
6 Tm 0.2496 0.0000 0.6140 [4 per cell]
7 Tl 0.0000 0.0000 0.5000 [2 per cell]

Computed properties:
The calculation puts the formation energy at 0.17 eV per atom. The calculated volume comes out at 32.06 Å³ per atom. The value obtained for the density of states at the Fermi level is 35.7 states/eV/cell.

[2]
Density functional theory data (GGA-PBE) for MnTl2Sb after structural relaxation.

Unit cell a=15.7642 b=3.4372 c=4.2579 alpha=90.00 beta=105.59 gamma=90.00
Space group C2/m (No. 12)
Asymmetric unit:
1 Mn 0.0000 0.0000 0.0000 [2 per cell]
2 Tl 0.1776 0.5000 0.1774 [4 per cell]
3 Sb 0.0000 0.5000 0.5000 [2 per cell]

Computed properties:
As for the raw formation energy: 0.189 eV per atom. Its excess energy over the best structure of this formula in the dataset is 1.7 kJ per mole of atoms. The calculated volume comes out at 27.78 Å³ per atom. The value obtained for the density of states at the Fermi level is 5.5 states/eV/cell.

[3]
Density functional theory data (GGA-PBE) for SrSm5Cd6 after structural relaxation.

Unit cell a=5.4421 b=7.7088 c=16.2939 alpha=90.00 beta=90.00 gamma=90.00
Space group Immm (No. 71)
Asymmetric unit:
1 Sr 0.0000 0.0000 0.0000 [2 per cell]
2 Sm 0.0000 0.0000 0.3313 [4 per cell]
3 Sm 0.0000 0.5000 0.0000 [2 per cell]
4 Sm 0.0000 0.5000 0.3370 [4 per cell]
5 Cd 0.0000 0.2328 0.5000 [4 per cell]
6 Cd 0.0000 0.2581 0.1713 [8 per cell]

Computed properties:
The calculation puts the formation energy at -0.31 eV per atom. The calculated volume comes out at 28.48 Å³ per atom. The value obtained for the density of states at the Fermi level is 26.4 states/eV/cell.

[4]
Density functional theory data (GGA-PBE) for Nd8IrRu3Cl4 after structural relaxation.

Unit cell a=14.1075 b=8.1499 c=8.9433 alpha=90.00 beta=121.79 gamma=90.00
Space group C2/m (No. 12)
Asymmetric unit:
1 Nd 0.0157 0.2470 0.2948 [8 per cell]
2 Nd 0.2358 0.0000 0.7065 [4 per cell]
3 Nd 0.2373 0.5000 0.7052 [4 per cell]
4 Ir 0.0000 0.5000 0.5000 [2 per cell]
5 Ru 0.0000 0.0000 0.5000 [2 per cell]
6 Ru 0.2500 0.2500 0.5000 [4 per cell]
7 Cl 0.0000 0.0000 0.0000 [2 per cell]
8 Cl 0.0000 0.5000 0.0000 [2 per cell]
9 Cl 0.2500 0.2500 0.0000 [4 per cell]

Computed properties:
As for the raw formation energy: -0.939 eV per atom. The calculated volume comes out at 27.31 Å³ per atom. The value obtained for the density of states at the Fermi level is 18.5 states/eV/cell.

| no. | ρ (g/cm³) | spin magnetization (μB per atom) | energy (eV per atom) |
| --- | --- | --- | --- |
| 1 | 8.79 | 0.000 | -4.167 |
| 2 | 8.75 | 0.946 | -4.317 |
| 3 | 7.36 | 0.071 | -2.870 |
| 4 | 6.81 | 0.000 | -6.078 |